Ac6TcAg2: optimized geometry, GGA-PBE.

Lattice parameters (Å, degrees): 7.2725 8.2375 13.0995 90.00 121.52 90.00
With the nearest neighbours (Å) after each atom.
Positions (direct):
Ac1 0.1093 0.0322 0.2475  1 Tc 2.92
Ac2 0.1093 0.4678 0.7475  1 Tc 2.92
Ac3 0.2276 0.6883 0.0620  1 Tc 2.93
Ac4 0.2276 0.8117 0.5620  1 Tc 2.93
Ac5 0.3889 0.1824 0.0606  1 Tc 2.92, 1 Ag 3.27
Ac6 0.3889 0.3176 0.5606  1 Tc 2.92, 1 Ag 3.27
Ac7 0.6111 0.6824 0.4394  1 Tc 2.92, 1 Ag 3.27
Ac8 0.6111 0.8176 0.9394  1 Tc 2.92, 1 Ag 3.27
Ac9 0.7724 0.1883 0.4380  1 Tc 2.93
Ac10 0.7724 0.3117 0.9380  1 Tc 2.93
Ac11 0.8907 0.5322 0.2525  1 Tc 2.92
Ac12 0.8907 0.9678 0.7525  1 Tc 2.92
Tc1 0.0000 0.0000 0.0000  6 Ac 2.92-2.93
Tc2 0.0000 0.5000 0.5000  6 Ac 2.92-2.93
Ag1 0.3209 0.1110 0.7586  6 Ac 3.27-3.37
Ag2 0.3209 0.3890 0.2586  6 Ac 3.27-3.37
Ag3 0.6791 0.6110 0.7414  6 Ac 3.27-3.37
Ag4 0.6791 0.8890 0.2414  6 Ac 3.27-3.37

Calculated values
Crystal system ... monoclinic
Space-group type ... No. 14
Formation energy ... -0.07 eV per atom